VASP calculation (GGA-PBE) on a geometry-optimized Ta2AgPb structure.

Cell lengths 2.949, 4.589, 5.802 Å; angles 90.00, 97.14, 90.00 degrees
Atoms (fractional coordinates):
Ta1 0.007 0.000 0.242
Ta2 0.993 0.000 0.758
Ag1 0.500 0.500 0.000
Pb1 0.500 0.500 0.500

Properties
- V: 19.475 A^3/atom
- ρ: 14.430 g cm⁻³
- Symmetry: P2/m (10)
- Energy of formation from the pure elements: 0.49 eV per atom
- Calculated total energy: -7.08 eV per atom